# PBE TeWSe2, optimized geometry
# Symmetry: No. 123
# Total energy: -5.861 eV per atom
# Formation energy (no corrections): -0.095 eV per atom
data_TeWSe2
_cell_length_a 3.072
_cell_length_b 3.072
_cell_length_c 10.646
_cell_angle_alpha 90.00
_cell_angle_beta 90.00
_cell_angle_gamma 90.00
_symmetry_space_group_name_H-M 'P 1'
_symmetry_Int_Tables_number 1
_symmetry_space_group_name_Hall 'P 1'
loop_
_atom_site_label
_atom_site_type_symbol
_atom_site_fract_x
_atom_site_fract_y
_atom_site_fract_z
_atom_site_occupancy
Te1 Te 0.000 0.000 0.000 1
W1 W 0.000 0.000 0.500 1
Se1 Se 0.500 0.500 0.353 1
Se2 Se 0.500 0.500 0.647 1